(1)
Sr2ZnAu3, relaxed, DFT PBE-GGA; energy of formation = -4.03 eV per formula unit; symmetry = Fmmm
1.0
-2.0453 2.2152 -5.4509
-4.4084 -4.3080 0.8994
-1.3175 6.5168 6.2041
Sr Zn Au
4 2 6
Cartesian
-4.4764 0.5812 2.4139
-4.8767 -1.5814 -3.4392
-3.2948 3.8428 -0.7613
-1.5771 -0.5114 -1.1122
-4.7420 0.7775 -0.9660
-3.0292 3.6465 2.6186
-4.5794 -1.6549 -0.0780
-4.3203 2.9639 4.7631
-3.1918 6.0790 1.7306
-3.4510 1.4601 -3.1105
-1.5722 1.8926 1.3591
-6.1990 2.5314 0.2935


(2)
Sr8ZnAu2, relaxed, DFT PBE-GGA; energy of formation = -1.97 eV per formula unit; distance to the lowest polymorph of the same formula = 0.104 eV/atom; symmetry = P-3
1.0
6.5234 0.0002 -0.0002
-0.0006 8.4669 -4.8872
0.0003 -0.0025 9.7756
Sr Zn Au
8 1 2
Cartesian
1.6251 5.6438 -0.0001
4.8981 2.8209 4.8881
4.8680 7.1384 -2.6051
1.6548 1.3122 2.2918
1.6550 5.8238 4.8788
1.6551 1.3263 7.4931
4.8683 7.1523 2.5963
4.8682 2.6408 0.0095
0.0003 -0.0025 9.7756
1.6351 2.8208 4.8885
4.8880 5.6438 -0.0003


(3)
SrZn2Au, relaxed, DFT PBE-GGA; energy of formation = -1.06 eV per formula unit; symmetry = Pm
1.0
-1.7553 2.9943 2.4500
-1.7652 -2.6565 1.9820
4.0565 -1.3637 4.5730
Au Sr Zn
1 1 2
Cartesian
1.2488 -1.5608 2.8023
0.6788 -1.4689 5.9651
-1.2808 -2.7916 2.4942
-0.7303 0.1287 3.0030